(1)
{"formula": "Th2ZnRu2", "functional": "PBE", "state": "optimized geometry", "lattice_angstrom": [[5.7697, 0.3266, 0.4437], [2.8987, 4.9994, 0.4437], [1.8470, 1.1348, 7.9557]], "species": ["Th", "Th", "Th", "Th", "Zn", "Zn", "Ru", "Ru", "Ru", "Ru"], "frac_coords": [[0.5107, 0.1969, 0.1480], [0.8031, 0.4893, 0.3520], [0.4893, 0.8031, 0.8520], [0.1969, 0.5107, 0.6480], [0.1342, 0.8658, 0.2500], [0.8658, 0.1342, 0.7500], [0.7092, 0.0207, 0.5339], [0.9793, 0.2908, 0.9661], [0.2908, 0.9793, 0.4661], [0.0207, 0.7092, 0.0339]], "dos_at_fermi_per_ev_cell": 5.27, "volume_a3_per_cell": 217, "ef_ev_per_atom": -0.466, "m_tot_mub_per_fu": 0.00, "density_kg_m3": 11214, "space_group": "C2/c (15)"}

(2)
{"formula": "PmDy5TlIn2", "functional": "PBE", "state": "optimized geometry", "lattice_angstrom": [[8.5888, 0.0000, 0.0000], [0.0000, 8.5888, 0.0000], [-4.2944, -4.2944, 7.0900]], "species": ["Pm", "Pm", "Dy", "Dy", "Dy", "Dy", "Dy", "Dy", "Dy", "Dy", "Dy", "Dy", "Tl", "Tl", "In", "In", "In", "In"], "frac_coords": [[0.2500, 0.7500, 0.5000], [0.7500, 0.2500, 0.5000], [0.9260, 0.4260, 0.2664], [0.6596, 0.1596, 0.7336], [0.0740, 0.5740, 0.7336], [0.1596, 0.0740, 0.7336], [0.5740, 0.6596, 0.7336], [0.8404, 0.9260, 0.2664], [0.4260, 0.3404, 0.2664], [0.3404, 0.8404, 0.2664], [0.5000, 0.5000, 0.0000], [0.0000, 0.0000, 0.0000], [0.2500, 0.2500, 0.5000], [0.7500, 0.7500, 0.5000], [0.1105, 0.3895, 0.0000], [0.6105, 0.1105, 0.0000], [0.3895, 0.8895, 0.0000], [0.8895, 0.6105, 0.0000]], "dos_at_fermi_per_ev_cell": 16.48, "volume_a3_per_cell": 523, "ef_ev_per_atom": -0.060, "m_tot_mub_per_fu": 0.00, "density_kg_m3": 8836, "space_group": "I4/mcm (140)"}

(3)
{"formula": "Tm7Al2Pd2", "functional": "PBE", "state": "optimized geometry", "lattice_angstrom": [[-3.6188, -5.6007, -0.0742], [0.7648, -0.5852, 6.8843], [-4.1906, 5.1086, 0.9000]], "species": ["Tm", "Tm", "Tm", "Tm", "Tm", "Tm", "Tm", "Al", "Al", "Pd", "Pd"], "frac_coords": [[0.0000, 0.2630, 0.5000], [0.5000, 0.7370, 0.0000], [0.0000, 0.7370, 0.5000], [0.5000, 0.2630, 0.0000], [0.0000, 0.0000, 0.0000], [0.5000, 0.7428, 0.5000], [0.5000, 0.2572, 0.5000], [0.8321, 0.5000, 0.8321], [0.1679, 0.5000, 0.1679], [0.7088, 0.0000, 0.2912], [0.2912, 0.0000, 0.7088]], "dos_at_fermi_per_ev_cell": 9.86, "volume_a3_per_cell": 294, "ef_ev_per_atom": -0.307, "m_tot_mub_per_fu": 0.00, "density_kg_m3": 8172, "space_group": "Cmmm (65)"}

(4)
{"formula": "ErPa2Tc3", "functional": "PBE", "state": "optimized geometry", "lattice_angstrom": [[3.4885, 0.0000, 0.0000], [0.0000, 4.9010, -1.6225], [0.0000, -0.3193, 7.2488]], "species": ["Er", "Pa", "Pa", "Tc", "Tc", "Tc"], "frac_coords": [[0.0000, 0.0000, 0.0000], [0.0000, 0.3372, 0.6744], [0.0000, 0.6628, 0.3256], [0.5000, 0.5000, 0.0000], [0.5000, 0.8175, 0.6349], [0.5000, 0.1825, 0.3651]], "dos_at_fermi_per_ev_cell": 5.63, "volume_a3_per_cell": 122, "ef_ev_per_atom": -0.235, "m_tot_mub_per_fu": 0.00, "density_kg_m3": 12555, "polymorph_energy_mev_per_atom": 0, "space_group": "Cmmm (65)"}

(5)
{"formula": "ScB2", "functional": "PBE", "state": "optimized geometry", "lattice_angstrom": [[-2.9118, 1.1675, -0.1877], [0.4319, -3.0776, 0.4682], [-0.0128, 0.5291, 3.4895]], "species": ["Sc", "B", "B"], "frac_coords": [[0.0000, 0.0000, 0.0000], [0.3333, 0.6667, 0.5000], [0.6667, 0.3333, 0.5000]], "dos_at_fermi_per_ev_cell": 1.19, "volume_a3_per_cell": 30, "ef_ev_per_atom": -0.840, "m_tot_mub_per_fu": 0.00, "density_kg_m3": 3662, "space_group": "P6/mmm (191)"}

(6)
{"formula": "BeTlBr2", "functional": "PBE", "state": "optimized geometry", "lattice_angstrom": [[7.0567, 0.0000, 0.0000], [0.0000, 7.0567, 0.0000], [3.5283, 3.5283, 4.7801]], "species": ["Be", "Be", "Tl", "Tl", "Br", "Br", "Br", "Br"], "frac_coords": [[0.5000, 0.5000, 0.0000], [0.2500, 0.7500, 0.5000], [0.0000, 0.0000, 0.0000], [0.7500, 0.2500, 0.5000], [0.4804, 0.1250, 0.2500], [0.2696, 0.6250, 0.2500], [0.3750, 0.5196, 0.7500], [0.8750, 0.7304, 0.7500]], "dos_at_fermi_per_ev_cell": 2.22, "volume_a3_per_cell": 238, "m_tot_mub_per_fu": 0.00, "e_form_raw_ev_per_fu": -1.2, "density_kg_m3": 5207, "polymorph_energy_mev_per_atom": 165, "space_group": "I-42d (122)"}

(7)
{"formula": "TbDyNi", "functional": "PBE", "state": "optimized geometry", "lattice_angstrom": [[4.7483, 0.0000, 0.0000], [2.3742, 4.1122, 0.0000], [2.3742, 1.3707, 3.8770]], "species": ["Ni", "Tb", "Dy"], "frac_coords": [[0.2500, 0.2500, 0.2500], [0.5000, 0.5000, 0.5000], [0.0000, 0.0000, 0.0000]], "dos_at_fermi_per_ev_cell": 2.50, "volume_a3_per_cell": 76, "ef_ev_per_atom": -0.151, "m_tot_mub_per_fu": 0.00, "density_kg_m3": 8338, "polymorph_energy_mev_per_atom": 85, "space_group": "F-43m (216)"}

(8)
{"formula": "Sr3SnH", "functional": "PBE", "state": "optimized geometry", "lattice_angstrom": [[5.2901, 0.0000, 0.0000], [0.0000, 5.2901, 0.0000], [0.0000, 0.0000, 5.2901]], "species": ["Sr", "Sr", "Sr", "Sn", "H"], "frac_coords": [[0.0000, 0.5000, 0.0000], [0.0000, 0.0000, 0.5000], [0.5000, 0.0000, 0.0000], [0.5000, 0.5000, 0.5000], [0.0000, 0.0000, 0.0000]], "dos_at_fermi_per_ev_cell": 2.94, "volume_a3_per_cell": 148, "m_tot_mub_per_fu": 0.00, "density_kg_m3": 4291, "polymorph_energy_mev_per_atom": 0, "space_group": "Pm-3m (221)"}

(9)
{"formula": "Li2Co2Cu", "functional": "PBE", "state": "optimized geometry", "lattice_angstrom": [[7.0289, 0.0000, 0.0000], [0.0000, 7.0289, 0.0000], [0.0000, 0.0000, 2.4997]], "species": ["Co", "Co", "Co", "Co", "Cu", "Cu", "Li", "Li", "Li", "Li"], "frac_coords": [[0.3904, 0.8904, 0.0000], [0.8904, 0.6096, 0.0000], [0.6096, 0.1096, 0.0000], [0.1096, 0.3904, 0.0000], [0.0000, 0.0000, 0.0000], [0.5000, 0.5000, 0.0000], [0.1854, 0.6854, 0.5000], [0.6854, 0.8146, 0.5000], [0.8146, 0.3146, 0.5000], [0.3146, 0.1854, 0.5000]], "dos_at_fermi_per_ev_cell": 8.00, "volume_a3_per_cell": 123, "ef_ev_per_atom": 0.384, "m_tot_mub_per_fu": 2.98, "density_kg_m3": 5252, "space_group": "P4/mbm (127)"}

(10)
{"formula": "CeSmCdOs", "functional": "PBE", "state": "optimized geometry", "lattice_angstrom": [[3.3736, 0.0000, 0.0000], [0.0000, 3.3736, 0.0000], [0.0000, 0.0000, 8.5589]], "species": ["Ce", "Sm", "Cd", "Os"], "frac_coords": [[0.5000, 0.5000, 0.3674], [0.5000, 0.5000, 0.7804], [0.0000, 0.0000, 0.0706], [0.0000, 0.0000, 0.5662]], "dos_at_fermi_per_ev_cell": 5.05, "volume_a3_per_cell": 97, "ef_ev_per_atom": -0.207, "m_tot_mub_per_fu": 0.00, "density_kg_m3": 10111, "polymorph_energy_mev_per_atom": 0, "space_group": "P4mm (99)"}

(11)
{"formula": "Ca2TiBe", "functional": "PBE", "state": "optimized geometry", "lattice_angstrom": [[-4.7283, -3.8710, 5.5947], [6.6753, -3.9552, 2.9049], [1.4424, -1.7123, 6.1689]], "species": ["Be", "Be", "Ca", "Ca", "Ca", "Ca", "Ti", "Ti"], "frac_coords": [[0.5000, 0.5000, 0.0000], [0.2500, 0.7500, 0.5000], [0.5757, 0.1250, 0.2500], [0.1743, 0.6250, 0.2500], [0.3750, 0.4243, 0.7500], [0.8750, 0.8257, 0.7500], [0.0000, 0.0000, 0.0000], [0.7500, 0.2500, 0.5000]], "dos_at_fermi_per_ev_cell": 4.02, "volume_a3_per_cell": 203, "ef_ev_per_atom": 0.785, "m_tot_mub_per_fu": 2.07, "density_kg_m3": 2242, "space_group": "I-42d (122)"}

(12)
{"formula": "Pu2MnCr", "functional": "PBE", "state": "optimized geometry", "lattice_angstrom": [[3.4069, 0.0000, 0.0000], [0.0000, 3.4069, 0.0000], [0.0000, 0.0000, 6.3980]], "species": ["Cr", "Mn", "Pu", "Pu"], "frac_coords": [[0.5000, 0.5000, 0.0000], [0.5000, 0.5000, 0.5000], [0.0000, 0.0000, 0.7451], [0.0000, 0.0000, 0.2549]], "dos_at_fermi_per_ev_cell": 7.02, "volume_a3_per_cell": 74, "ef_ev_per_atom": 0.225, "m_tot_mub_per_fu": 5.52, "density_kg_m3": 13303, "polymorph_energy_mev_per_atom": 0, "space_group": "P4/mmm (123)"}